1.
A relaxed structure of DyPuB4. Source: the Alexandria database, functional GGA-PBE.

abc: 6.1683 11.9320 3.9788
angles: 90.00 90.00 90.00
Last column: nearest neighbours and their distance in Å.
Fractional coordinates of all 24 atoms:
Dy  0.1168  0.1564  0.0000  14 B 2.79-2.98
Dy  0.3832  0.6564  0.0000  14 B 2.79-2.98
Dy  0.6168  0.3436  0.0000  14 B 2.79-2.98
Dy  0.8832  0.8436  0.0000  14 B 2.79-2.98
Pu  0.1260  0.4190  0.0000  1 Pu 2.48, 10 B 2.57-2.61
Pu  0.3740  0.9190  0.0000  1 Pu 2.48, 10 B 2.57-2.61
Pu  0.6260  0.0810  0.0000  1 Pu 2.48, 10 B 2.57-2.61
Pu  0.8740  0.5810  0.0000  1 Pu 2.48, 10 B 2.57-2.61
B  0.0326  0.6962  0.5000  2 B 1.76-1.79
B  0.1278  0.9718  0.5000  2 B 1.71-1.78
B  0.1328  0.5557  0.5000  2 B 1.78-1.79
B  0.2071  0.8127  0.5000  2 B 1.76-1.96
B  0.2929  0.3127  0.5000  2 B 1.76-1.96
B  0.3672  0.0557  0.5000  2 B 1.78-1.79
B  0.3722  0.4718  0.5000  2 B 1.71-1.78
B  0.4674  0.1962  0.5000  2 B 1.76-1.79
B  0.5326  0.8038  0.5000  2 B 1.76-1.79
B  0.6278  0.5282  0.5000  2 B 1.71-1.78
B  0.6328  0.9443  0.5000  2 B 1.78-1.79
B  0.7071  0.6873  0.5000  2 B 1.76-1.96
B  0.7929  0.1873  0.5000  2 B 1.76-1.96
B  0.8672  0.4443  0.5000  2 B 1.78-1.79
B  0.8722  0.0282  0.5000  2 B 1.71-1.78
B  0.9674  0.3038  0.5000  2 B 1.76-1.79

M_tot	4.7	μB/f.u.
calculated formation energy	-240	meV/atom



2.
A relaxed structure of TlGeAu. Source: the Alexandria database, functional GGA-PBE.

abc: 4.7020 4.7543 6.6639
angles: 90.00 93.62 90.00
Last column: nearest neighbours and their distance in Å.
Fractional coordinates of all 6 atoms:
Tl  0.2435  0.2500  0.3728  3 Au 3.04-3.28, 1 Ge 3.32
Tl  0.7565  0.7500  0.6272  3 Au 3.04-3.28, 1 Ge 3.32
Ge  0.3055  0.7500  0.9900  4 Au 2.62-2.71
Ge  0.6945  0.2500  0.0100  4 Au 2.62-2.71
Au  0.1665  0.2500  0.8216  4 Ge 2.62-2.71
Au  0.8335  0.7500  0.1784  4 Ge 2.62-2.71

M_tot	0.0	μB/f.u.
calculated formation energy	23	meV/atom



3.
A relaxed structure of Nd2InBi4. Source: the Alexandria database, functional GGA-PBE.

abc: 6.7845 6.7845 6.7779
angles: 116.84 116.84 95.50
Last column: nearest neighbours and their distance in Å.
Fractional coordinates of all 7 atoms:
Nd  0.0000  0.5000  0.0000  8 Bi 3.39-3.40, 2 In 3.55
Nd  0.5000  0.0000  0.0000  8 Bi 3.39-3.40, 2 In 3.55
In  0.0000  0.0000  0.5000  8 Bi 3.39-3.40, 4 Nd 3.55
Bi  0.0000  0.0000  0.0000  2 In 3.39, 4 Nd 3.39, 4 Bi 3.55
Bi  0.0000  0.5000  0.5000  4 Nd 3.39-3.40, 2 In 3.39, 4 Bi 3.55
Bi  0.5000  0.0000  0.5000  4 Nd 3.39-3.40, 2 In 3.39, 4 Bi 3.55
Bi  0.5000  0.5000  0.0000  4 Nd 3.39, 2 In 3.40, 4 Bi 3.55

M_tot	0.0	μB/f.u.
E above lowest polymorph	45.6	meV/atom
calculated formation energy	-466	meV/atom